Record 1
The following is a DFT calculation (PBEsol) of an optimized crystal structure of CdP3Se.

Structure (extended XYZ):
```
5
Lattice="4.715 0.000 0.000 0.000 4.715 0.000 0.000 0.000 4.715" Properties=species:S:1:pos:R:3 pbc="T T T"
Cd 0.000 0.000 0.000
P 0.000 2.358 2.358
P 2.358 0.000 2.358
P 2.358 2.358 0.000
Se 2.358 2.358 2.358
```

## Properties
Final energy   -17.44 eV for the cell shown
Calculated volume   20.968 Å³/atom


Record 2
The following is a DFT calculation (PBEsol) of an optimized crystal structure of KLiRu.

Structure (extended XYZ):
```
3
Lattice="2.821 0.000 0.000 -1.410 2.443 0.000 0.000 0.000 8.280" Properties=species:S:1:pos:R:3 pbc="T T T"
K 0.000 0.000 0.000
Li 0.000 1.629 4.787
Ru 1.410 0.814 2.692
```

## Properties
Calculated volume   19.019 Å³/atom
Polymorph energy (0 for the lowest one)   1 kJ/mol of formula units


Record 3
The following is a DFT calculation (PBEsol) of an optimized crystal structure of Y2TcGe2.

Structure (extended XYZ):
```
10
Lattice="6.845 0.000 0.000 0.000 6.845 0.000 0.000 0.000 4.159" Properties=species:S:1:pos:R:3 pbc="T T T"
Y 1.209 2.214 0.000
Y 2.214 5.636 0.000
Y 4.631 1.209 0.000
Y 5.636 4.631 0.000
Tc 0.000 0.000 2.080
Tc 3.422 3.422 2.080
Ge 0.902 4.325 2.080
Ge 2.520 0.902 2.080
Ge 4.325 5.942 2.080
Ge 5.942 2.520 2.080
```

## Properties
Final energy   -76.55 eV for the cell shown
Calculated volume   19.485 Å³/atom


Record 4
The following is a DFT calculation (PBEsol) of an optimized crystal structure of CuSn2HgF.

Structure (extended XYZ):
```
5
Lattice="4.670 0.000 0.000 0.000 4.670 0.000 0.000 0.000 5.022" Properties=species:S:1:pos:R:3 pbc="T T T"
Cu 0.000 0.000 0.000
Sn 0.000 2.335 2.511
Sn 2.335 0.000 2.511
Hg 2.335 2.335 0.000
F 2.335 2.335 2.511
```

## Properties
Final energy   -15.44 eV for the cell shown
Calculated volume   21.899 Å³/atom